Entry 1:
Computed, not measured: a geometry-optimized CuNi structure at the PBE level of DFT.

Unit cell a=4.7208 b=4.7208 c=4.7208 alpha=90.00 beta=90.00 gamma=90.00
Last column: nearest neighbours and their distance in Å.
Element x y z (fractional)
1 Cu 0.0000 0.0000 0.0000  6 Ni 2.36
2 Cu 0.0000 0.5000 0.5000  6 Ni 2.36
3 Cu 0.5000 0.0000 0.5000  6 Ni 2.36
4 Cu 0.5000 0.5000 0.0000  6 Ni 2.36
5 Ni 0.0000 0.0000 0.5000  6 Cu 2.36
6 Ni 0.0000 0.5000 0.0000  6 Cu 2.36
7 Ni 0.5000 0.0000 0.0000  6 Cu 2.36
8 Ni 0.5000 0.5000 0.5000  6 Cu 2.36

D(E_F)   0.977 states/eV per atom
Energy of formation from the pure elements   0.66 eV per atom
Total DFT energy (no corrections)   -34.226 eV per cell
Density   7.72 g/cm3

=====

Entry 2:
Computed, not measured: a geometry-optimized CrMoAu2Cl structure at the PBE level of DFT.

Unit cell a=5.1300 b=5.1300 c=4.4325 alpha=90.00 beta=90.00 gamma=90.00
Last column: nearest neighbours and their distance in Å.
Element x y z (fractional)
1 Cr 0.0000 0.0000 0.0000  2 Cl 2.22
2 Mo 0.5000 0.5000 0.5000  8 Au 3.39, 4 Cl 3.63
3 Au 0.0000 0.5000 0.0000  2 Cr 2.56
4 Au 0.5000 0.0000 0.0000  2 Cr 2.56
5 Cl 0.0000 0.0000 0.5000  2 Cr 2.22

D(E_F)   0.446 states/eV per atom
Total DFT energy (no corrections)   -24.119 eV per cell
Density   8.22 g/cm3

=====

Entry 3:
Computed, not measured: a geometry-optimized Cs5Se2I12 structure at the PBE level of DFT.

Unit cell a=12.1071 b=12.1071 c=10.6593 alpha=102.86 beta=102.86 gamma=47.07
Last column: nearest neighbours and their distance in Å.
Element x y z (fractional)
1 Cs 0.0000 0.0000 0.0000  4 I 4.02
2 Cs 0.2557 0.2557 0.8001  7 I 3.89-4.09
3 Cs 0.2643 0.2643 0.2147  8 I 3.88-4.15
4 Cs 0.7357 0.7357 0.7853  8 I 3.88-4.15
5 Cs 0.7443 0.7443 0.1999  7 I 3.89-4.09
6 Se 0.3838 0.6162 0.5000  1 Se 2.25
7 Se 0.6162 0.3838 0.5000  1 Se 2.25
8 I 0.0876 0.6221 0.0358  1 I 3.66, 5 Cs 3.89-4.03
9 I 0.1478 0.1478 0.4381  2 I 2.96
10 I 0.1535 0.5417 0.5609  1 I 2.96
11 I 0.3779 0.9124 0.9642  1 I 3.66, 5 Cs 3.89-4.03
12 I 0.4423 0.4423 0.2473  2 Se 2.91
13 I 0.4583 0.8465 0.4391  1 I 2.96
14 I 0.5417 0.1535 0.5609  1 I 2.96
15 I 0.5577 0.5577 0.7527  2 Se 2.91
16 I 0.6221 0.0876 0.0358  1 I 3.66, 5 Cs 3.89-4.03
17 I 0.8465 0.4583 0.4391  1 I 2.96
18 I 0.8522 0.8522 0.5619  2 I 2.96
19 I 0.9124 0.3779 0.9642  1 I 3.66, 5 Cs 3.89-4.03

D(E_F)   0.097 states/eV per atom
Total DFT energy (no corrections)   -43.457 eV per cell
Density   3.51 g/cm3

=====

Entry 4:
Computed, not measured: a geometry-optimized Na2TmSO6 structure at the PBE level of DFT.

Unit cell a=5.7454 b=5.7454 c=5.5150 alpha=90.00 beta=90.00 gamma=120.00
Last column: nearest neighbours and their distance in Å.
Element x y z (fractional)
1 Na 0.3333 0.6667 0.0444  3 O 2.31
2 Na 0.6667 0.3333 0.9556  3 O 2.31
3 Tm 0.0000 0.0000 0.5000  6 O 2.23
4 S 0.0000 0.0000 0.0000  6 O 1.69
5 O 0.1375 0.2751 0.8203  1 S 1.69
6 O 0.1375 0.8625 0.8203  1 S 1.69
7 O 0.2751 0.1375 0.1797  1 S 1.69
8 O 0.7249 0.8625 0.8203  1 S 1.69
9 O 0.8625 0.1375 0.1797  1 S 1.69
10 O 0.8625 0.7249 0.1797  1 S 1.69

D(E_F)   0.101 states/eV per atom
Total DFT energy (no corrections)   -57.132 eV per cell
Density   3.61 g/cm3

=====

Entry 5:
Computed, not measured: a geometry-optimized Tm4ScTe5 structure at the PBE level of DFT.

Unit cell a=15.4438 b=15.4438 c=15.4438 alpha=164.08 beta=164.08 gamma=22.59
Last column: nearest neighbours and their distance in Å.
Element x y z (fractional)
1 Tm 0.0986 0.0986 0.0000  6 Te 2.99-3.04
2 Tm 0.2987 0.2987 0.0000  6 Te 3.03-3.10
3 Tm 0.7013 0.7013 0.0000  6 Te 3.03-3.10
4 Tm 0.9014 0.9014 0.0000  6 Te 2.99-3.04
5 Sc 0.5000 0.5000 0.0000  6 Te 3.00-3.03
6 Te 0.0000 0.0000 0.0000  2 Tm 2.99, 4 Sc 3.03
7 Te 0.1988 0.1988 0.0000  6 Tm 3.03-3.04
8 Te 0.4009 0.4009 0.0000  1 Sc 3.00, 5 Tm 3.03-3.10
9 Te 0.5991 0.5991 0.0000  1 Sc 3.00, 5 Tm 3.03-3.10
10 Te 0.8012 0.8012 0.0000  6 Tm 3.03-3.04

ΔE to the lowest computed polymorph   6.2 meV/atom
D(E_F)   0.595 states/eV per atom
Total DFT energy (no corrections)   -51.401 eV per cell
Density   8.14 g/cm3

=====

Entry 6:
Computed, not measured: a geometry-optimized CaLaIn structure at the PBE level of DFT.

Unit cell a=11.8626 b=5.2903 c=7.1155 alpha=90.00 beta=117.41 gamma=90.00
Last column: nearest neighbours and their distance in Å.
Element x y z (fractional)
1 Ca 0.0000 0.0000 0.0000  5 In 3.35-3.70, 1 La 3.47, 2 Ca 3.64
2 Ca 0.1428 0.5000 0.8295  3 In 3.28-3.36, 2 Ca 3.64
3 Ca 0.5000 0.5000 0.0000  5 In 3.35-3.70, 1 La 3.47, 2 Ca 3.64
4 Ca 0.6428 0.0000 0.8295  3 In 3.28-3.36, 2 Ca 3.64
5 La 0.2682 0.0000 0.5663  3 In 3.31-3.45, 2 La 3.63
6 La 0.4149 0.5000 0.4055  5 In 3.37-3.60, 1 Ca 3.47, 2 La 3.63
7 La 0.7682 0.5000 0.5663  3 In 3.31-3.45, 2 La 3.63
8 La 0.9149 0.0000 0.4055  5 In 3.37-3.60, 1 Ca 3.47, 2 La 3.63
9 In 0.0936 0.5000 0.3253  1 In 3.02, 2 La 3.31, 3 Ca 3.35-3.36
10 In 0.3070 0.0000 0.0777  1 In 3.02, 2 Ca 3.28, 2 La 3.37
11 In 0.5936 0.0000 0.3253  1 In 3.02, 2 La 3.31, 3 Ca 3.35-3.36
12 In 0.8070 0.5000 0.0777  1 In 3.02, 2 Ca 3.28, 2 La 3.37

ΔE to the lowest computed polymorph   134.1 meV/atom
D(E_F)   0.322 states/eV per atom
Energy of formation from the pure elements   -0.31 eV per atom
Total DFT energy (no corrections)   -42.402 eV per cell
Density   4.92 g/cm3